1.
The following is a PBE-GGA calculation of ErTiCd after structural relaxation, from Alexandria.

Values from the calculation:
E_form ... -0.02 eV per atom
Final energy ... -4.482 eV per atom

Cell: 3.282 3.282 12.548 Å, 90.00 90.00 90.00°
Space group I4mm (No. 107)
Unique sites:
1 Er 0.000 0.000 0.000 x2
2 Ti 0.000 0.000 0.665 x2
3 Cd 0.000 0.000 0.313 x2

***

2.
The following is a PBE-GGA calculation of B3HRh6 after structural relaxation, from Alexandria.

Values from the calculation:
Final energy ... -6.961 eV per atom

Cell: 8.665 3.168 8.844 Å, 90.00 110.15 90.00°
Space group P2_1/m (No. 11)
Unique sites:
1 B 0.064 0.250 0.174 x2
2 B 0.241 0.750 0.512 x2
3 B 0.333 0.250 0.911 x2
4 H 0.437 0.250 0.392 x2
5 Rh 0.079 0.250 0.423 x2
6 Rh 0.095 0.250 0.936 x2
7 Rh 0.234 0.750 0.266 x2
8 Rh 0.244 0.750 0.753 x2
9 Rh 0.419 0.250 0.591 x2
10 Rh 0.419 0.750 0.079 x2

***

3.
The following is a PBE-GGA calculation of PmTm3Au4 after structural relaxation, from Alexandria.

Values from the calculation:
E_form ... -0.86 eV per atom
Final energy ... -4.768 eV per atom

Cell: 5.0538 5.0538 25.1471 Å, 90.00 90.00 120.00°
Space group R-3m (No. 166, hexagonal axes)
Unique sites:
1 Pm 0.0000 0.0000 0.0000 x3
2 Tm 0.0000 0.0000 0.2487 x6
3 Tm 0.0000 0.0000 0.5000 x3
4 Au 0.0000 0.0000 0.1279 x6
5 Au 0.0000 0.0000 0.3806 x6

***

4.
The following is a PBE-GGA calculation of Tb3CoSb after structural relaxation, from Alexandria.

Values from the calculation:
ΔE_f (raw) ... -0.39 eV per atom
Final energy ... -5.418 eV per atom

Cell: 5.133 5.133 5.133 Å, 90.00 90.00 90.00°
Space group Pm-3m (No. 221)
Unique sites:
1 Tb 0.000 0.000 0.500 x3
2 Co 0.000 0.000 0.000 x1
3 Sb 0.500 0.500 0.500 x1

***

5.
The following is a PBE-GGA calculation of TaTi6Ga5 after structural relaxation, from Alexandria.

Values from the calculation:
E_form ... -0.38 eV per atom
Final energy ... -6.577 eV per atom

Cell: 4.594 6.032 13.929 Å, 90.00 90.00 90.00°
Space group Immm (No. 71)
Unique sites:
1 Ta 0.000 0.000 0.000 x2
2 Ti 0.000 0.235 0.500 x4
3 Ti 0.000 0.254 0.170 x8
4 Ga 0.000 0.000 0.332 x4
5 Ga 0.000 0.500 0.000 x2
6 Ga 0.000 0.500 0.347 x4

***

6.
The following is a PBE-GGA calculation of TlAu3O after structural relaxation, from Alexandria.

Values from the calculation:
ΔE_f (raw) ... 0.23 eV per atom
Final energy ... -3.198 eV per atom

Cell: 4.637 4.637 4.637 Å, 90.00 90.00 90.00°
Space group Pm-3m (No. 221)
Unique sites:
1 Tl 0.000 0.000 0.000 x1
2 Au 0.000 0.500 0.500 x3
3 O 0.500 0.500 0.500 x1

***

7.
The following is a PBE-GGA calculation of Sr2ScTe2 after structural relaxation, from Alexandria.

Values from the calculation:
ΔE_f (raw) ... -1.05 eV per atom
Final energy ... -4.247 eV per atom

Cell: 8.411 8.411 4.571 Å, 90.00 90.00 90.00°
Space group P4/mbm (No. 127)
Unique sites:
1 Sr 0.154 0.346 0.000 x4
2 Sc 0.000 0.000 0.500 x2
3 Te 0.159 0.659 0.500 x4

***

8.
The following is a PBE-GGA calculation of Te3Se after structural relaxation, from Alexandria.

Values from the calculation:
ΔE_f (raw) ... 0.21 eV per atom
Final energy ... -3.018 eV per atom

Cell: 5.841 16.877 2.923 Å, 90.00 90.00 90.00°
Space group Cmmm (No. 65)
Unique sites:
1 Te 0.000 0.000 0.000 x2
2 Te 0.250 0.250 0.500 x4
3 Se 0.000 0.500 0.000 x2

***

- Which value of final energy does entry 5 give?
  -6.577 eV per atom